w | The following is a DFT calculation (PBE-GGA) of a relaxed TbNd2Tm crystal. Values from VASP.

Structure (Quantum ESPRESSO input):
```
&SYSTEM
  ibrav = 0, nat = 4, ntyp = 3
/
ATOMIC_SPECIES
Tm 168.93 Tm.upf
Nd 144.24 Nd.upf
Tb 158.93 Tb.upf
CELL_PARAMETERS angstrom
4.930 0.000 -1.318
-0.499 4.725 -1.867
-1.001 -0.440 6.134
ATOMIC_POSITIONS angstrom
Tm 2.216 2.363 -1.592
Nd 3.429 4.284 2.946
Nd 3.073 0.963 1.615
Tb 0.357 3.323 1.336
```

Values from the calculation:
spin magnetization: 0.0 μB per formula unit

---

x | The following is a DFT calculation (PBE-GGA) of a relaxed TbNd2Tm crystal. Values from VASP.

Structure (Quantum ESPRESSO input):
```
&SYSTEM
  ibrav = 0, nat = 4, ntyp = 3
/
ATOMIC_SPECIES
Tb 158.93 Tb.upf
Nd 144.24 Nd.upf
Tm 168.93 Tm.upf
CELL_PARAMETERS angstrom
-2.397 -2.586 -0.766
0.704 -2.398 -2.602
4.497 -8.673 6.708
ATOMIC_POSITIONS angstrom
Tb 1.402 -6.829 1.669
Nd 2.114 -10.259 2.522
Nd 0.690 -3.399 0.817
Tm 0.000 0.000 0.000
```

Values from the calculation:
spin magnetization: 0.0 μB per formula unit

---

Which structure loses on stability? w does.

---

w | The following is a DFT calculation (PBE-GGA) of a relaxed TbNd2Tm5 crystal. Values from VASP.

Structure (Quantum ESPRESSO input):
```
&SYSTEM
  ibrav = 0, nat = 8, ntyp = 3
/
ATOMIC_SPECIES
Tm 168.93 Tm.upf
Nd 144.24 Nd.upf
Tb 158.93 Tb.upf
CELL_PARAMETERS angstrom
-2.627 -2.912 5.926
6.369 -2.805 1.444
-0.647 6.954 -1.130
ATOMIC_POSITIONS angstrom
Tm -1.092 3.841 3.533
Tm 0.220 5.296 0.570
Tm 2.091 2.439 4.254
Tm 2.415 -1.037 4.821
Tm 3.404 3.894 1.292
Nd -0.770 0.364 4.098
Nd 3.728 0.417 1.857
Tb 0.544 1.820 1.135
```

Values from the calculation:
spin magnetization: 0.0 μB per formula unit

---

x | The following is a DFT calculation (PBE-GGA) of a relaxed TbNd2Tm5 crystal. Values from VASP.

Structure (Quantum ESPRESSO input):
```
&SYSTEM
  ibrav = 0, nat = 16, ntyp = 3
/
ATOMIC_SPECIES
Nd 144.24 Nd.upf
Tm 168.93 Tm.upf
Tb 158.93 Tb.upf
CELL_PARAMETERS angstrom
-8.625 -4.457 1.458
1.210 -3.977 -5.000
6.833 0.298 8.279
ATOMIC_POSITIONS angstrom
Nd 4.794 -2.361 4.939
Nd 1.171 -6.535 3.154
Nd -5.376 -5.775 -0.202
Nd -1.753 -1.602 1.583
Tm -1.871 -3.524 5.404
Tm -2.364 -4.423 -0.358
Tm -4.510 -3.231 2.403
Tm 3.928 -4.905 2.334
Tm -0.202 -1.255 -1.165
Tm 1.289 -4.612 -0.667
Tm -2.782 -6.296 3.161
Tm 2.199 -1.841 1.576
Tm -7.213 -7.179 -2.377
Tm 1.781 -3.713 5.095
Tb 3.416 0.149 4.140
Tb -0.291 -4.068 2.369
```

Values from the calculation:
spin magnetization: 0.0 μB per formula unit

---

Which structure loses on stability? x does.

---

w | The following is a DFT calculation (PBE-GGA) of a relaxed Tb2NdTm crystal. Values from VASP.

Structure (Quantum ESPRESSO input):
```
&SYSTEM
  ibrav = 0, nat = 4, ntyp = 3
/
ATOMIC_SPECIES
Tm 168.93 Tm.upf
Tb 158.93 Tb.upf
Nd 144.24 Nd.upf
CELL_PARAMETERS angstrom
5.694 0.000 0.000
2.847 4.931 0.000
2.847 1.644 4.649
ATOMIC_POSITIONS angstrom
Tm 0.000 0.000 0.000
Tb 2.847 1.644 1.162
Tb 8.541 4.931 3.487
Nd 5.694 3.287 2.325
```

Values from the calculation:
spin magnetization: 0.0 μB per formula unit

---

x | The following is a DFT calculation (PBE-GGA) of a relaxed Tb2NdTm crystal. Values from VASP.

Structure (Quantum ESPRESSO input):
```
&SYSTEM
  ibrav = 0, nat = 4, ntyp = 3
/
ATOMIC_SPECIES
Tm 168.93 Tm.upf
Tb 158.93 Tb.upf
Nd 144.24 Nd.upf
CELL_PARAMETERS angstrom
-0.073 -1.372 3.317
1.618 -3.132 0.684
10.315 4.116 3.874
ATOMIC_POSITIONS angstrom
Tm 1.035 -2.999 2.669
Tb 7.925 2.747 3.255
Tb 2.909 -0.129 1.954
Nd 5.920 -0.199 3.935
```

Values from the calculation:
spin magnetization: 0.0 μB per formula unit

---

Which structure loses on stability? w does.

---

w | The following is a DFT calculation (PBE-GGA) of a relaxed Tb2NdTm crystal. Values from VASP.

Structure (Quantum ESPRESSO input):
```
&SYSTEM
  ibrav = 0, nat = 4, ntyp = 3
/
ATOMIC_SPECIES
Tb 158.93 Tb.upf
Tm 168.93 Tm.upf
Nd 144.24 Nd.upf
CELL_PARAMETERS angstrom
-1.581 4.712 -0.999
-4.548 -1.132 1.858
1.504 1.475 4.580
ATOMIC_POSITIONS angstrom
Tb 0.752 0.738 2.290
Tb -2.274 -0.566 0.929
Tm -2.313 2.528 2.719
Nd -0.790 2.356 -0.500
```

Values from the calculation:
spin magnetization: 0.0 μB per formula unit

---

x | The following is a DFT calculation (PBE-GGA) of a relaxed Tb2NdTm crystal. Values from VASP.

Structure (Quantum ESPRESSO input):
```
&SYSTEM
  ibrav = 0, nat = 4, ntyp = 3
/
ATOMIC_SPECIES
Nd 144.24 Nd.upf
Tb 158.93 Tb.upf
Tm 168.93 Tm.upf
CELL_PARAMETERS angstrom
3.584 0.000 -0.958
-0.576 5.450 -2.153
-0.082 -0.474 6.873
ATOMIC_POSITIONS angstrom
Nd 0.402 3.816 1.502
Tb 2.521 1.154 2.248
Tb 0.016 0.025 0.060
Tm 1.409 2.231 5.270
```

Values from the calculation:
spin magnetization: 0.0 μB per formula unit

---

Which structure loses on stability? x does.

---

w | The following is a DFT calculation (PBE-GGA) of a relaxed Tb4Nd3Tm2 crystal. Values from VASP.

Structure (Quantum ESPRESSO input):
```
&SYSTEM
  ibrav = 0, nat = 9, ntyp = 3
/
ATOMIC_SPECIES
Nd 144.24 Nd.upf
Tb 158.93 Tb.upf
Tm 168.93 Tm.upf
CELL_PARAMETERS angstrom
-2.865 0.017 -5.494
5.454 -2.889 0.635
-9.420 -2.647 8.429
ATOMIC_POSITIONS angstrom
Nd -7.262 -2.069 2.640
Nd 0.431 -3.450 0.930
Nd 0.000 0.000 0.000
Tb -9.517 -3.593 4.986
Tb 2.686 -1.926 -1.416
Tb -4.576 -4.001 1.224
Tb -2.255 -1.518 2.345
Tm -2.339 -2.483 -1.111
Tm -4.492 -3.037 4.681
```

Values from the calculation:
spin magnetization: 0.0 μB per formula unit

---

x | The following is a DFT calculation (PBE-GGA) of a relaxed Tb4Nd3Tm2 crystal. Values from VASP.

Structure (Quantum ESPRESSO input):
```
&SYSTEM
  ibrav = 0, nat = 18, ntyp = 3
/
ATOMIC_SPECIES
Tb 158.93 Tb.upf
Tm 168.93 Tm.upf
Nd 144.24 Nd.upf
CELL_PARAMETERS angstrom
5.821 1.609 1.152
2.240 11.019 0.707
2.240 4.220 10.204
ATOMIC_POSITIONS angstrom
Tb 5.746 10.925 9.513
Tb 8.656 13.331 7.853
Tb 2.436 9.410 1.255
Tb 4.954 11.823 2.983
Tb 4.555 5.923 2.549
Tb 5.347 5.025 9.080
Tb 1.645 3.517 4.209
Tb 7.864 7.438 10.807
Tm 6.131 10.947 6.183
Tm 3.220 8.576 7.795
Tm 7.081 8.272 4.268
Tm 4.170 5.901 5.879
Nd 2.180 3.935 0.762
Nd 5.090 2.794 4.055
Nd 6.606 7.837 7.701
Nd 5.211 14.054 8.008
Nd 3.695 9.011 4.361
Nd 8.121 12.913 11.300
```

Values from the calculation:
spin magnetization: 0.0 μB per formula unit

---

Which structure loses on stability? x does.

---

w | The following is a DFT calculation (PBE-GGA) of a relaxed Tb2Nd5Tm4 crystal. Values from VASP.

Structure (Quantum ESPRESSO input):
```
&SYSTEM
  ibrav = 0, nat = 11, ntyp = 3
/
ATOMIC_SPECIES
Tm 168.93 Tm.upf
Tb 158.93 Tb.upf
Nd 144.24 Nd.upf
CELL_PARAMETERS angstrom
-0.974 2.361 -2.428
-6.381 -5.743 -3.026
-4.052 6.288 10.298
ATOMIC_POSITIONS angstrom
Tm -6.241 3.712 6.113
Tm -5.165 -0.806 -1.270
Tm -4.363 -3.927 -2.069
Tm -2.017 -1.816 -0.957
Tb -7.244 0.430 0.766
Tb -4.162 2.476 4.077
Nd -7.341 -3.258 -0.224
Nd -3.522 0.180 1.588
Nd -0.487 1.181 -1.214
Nd -4.065 6.164 5.067
Nd -7.884 2.726 3.256
```

Values from the calculation:
spin magnetization: 0.0 μB per formula unit

---

x | The following is a DFT calculation (PBE-GGA) of a relaxed Tb2Nd5Tm4 crystal. Values from VASP.

Structure (Quantum ESPRESSO input):
```
&SYSTEM
  ibrav = 0, nat = 11, ntyp = 3
/
ATOMIC_SPECIES
Tm 168.93 Tm.upf
Nd 144.24 Nd.upf
Tb 158.93 Tb.upf
CELL_PARAMETERS angstrom
3.483 0.000 -0.658
-0.193 11.564 -1.022
-0.104 0.178 8.997
ATOMIC_POSITIONS angstrom
Tm 1.139 2.495 6.031
Tm 0.062 3.009 0.327
Tm 3.123 8.733 6.989
Tm 2.046 9.246 1.286
Nd 2.621 10.870 4.331
Nd 0.564 0.872 2.986
Nd 1.741 0.000 -0.329
Nd 2.973 5.523 6.191
Nd 0.213 6.219 1.126
Tb 2.382 4.138 3.062
Tb 0.803 7.604 4.255
```

Values from the calculation:
spin magnetization: 0.0 μB per formula unit

---

Which structure loses on stability? w does.